<A>
Material: ZrAl2Br
Method: DFT, GGA-PBE
State: optimized geometry

Geometry as extended XYZ:
```
16
Lattice="6.879 0.000 0.000 0.000 6.879 0.000 0.000 0.000 6.879" Properties=species:S:1:pos:R:3 pbc="T T T"
Zr 0.000 0.000 0.000
Zr 0.000 3.439 3.439
Zr 3.439 0.000 3.439
Zr 3.439 3.439 0.000
Al 0.000 0.000 3.439
Al 0.000 3.439 0.000
Al 1.720 1.720 1.720
Al 1.720 5.159 5.159
Al 3.439 0.000 0.000
Al 3.439 3.439 3.439
Al 5.159 1.720 5.159
Al 5.159 5.159 1.720
Br 1.720 1.720 5.159
Br 1.720 5.159 1.720
Br 5.159 1.720 1.720
Br 5.159 5.159 5.159
```



<B>
Material: ZrAl2Br
Method: DFT, GGA-PBE
State: optimized geometry

Geometry as extended XYZ:
```
12
Lattice="3.295 0.000 0.000 -1.648 2.854 0.000 0.000 0.000 26.615" Properties=species:S:1:pos:R:3 pbc="T T T"
Zr 0.000 0.000 0.000
Zr 0.000 1.902 17.743
Zr 1.648 0.951 8.872
Al 0.000 0.000 6.650
Al 0.000 0.000 19.965
Al 0.000 1.902 11.094
Al 0.000 1.902 24.393
Al 1.648 0.951 2.222
Al 1.648 0.951 15.521
Br 0.000 0.000 13.307
Br 0.000 1.902 4.436
Br 1.648 0.951 22.179
```



<C>
Material: ZrAl2Br
Method: DFT, GGA-PBE
State: optimized geometry

Geometry as extended XYZ:
```
4
Lattice="3.233 0.000 0.000 0.000 3.233 0.000 0.000 0.000 8.045" Properties=species:S:1:pos:R:3 pbc="T T T"
Zr 0.000 0.000 0.000
Al 1.616 1.616 1.849
Al 1.616 1.616 6.196
Br 0.000 0.000 4.022
```



<D>
Material: ZrAl2Br
Method: DFT, GGA-PBE
State: optimized geometry

Geometry as extended XYZ:
```
4
Lattice="3.357 0.000 0.000 0.000 4.649 0.000 0.000 0.000 5.340" Properties=species:S:1:pos:R:3 pbc="T T T"
Zr 0.000 0.000 0.000
Al 1.679 2.325 1.303
Al 1.679 2.325 4.037
Br 0.000 0.000 2.670
```



The most stable arrangement is <B>, and the next structure is 5.5 kJ/mol of atoms less stable.



<A>
Material: AlC3
Method: DFT, GGA-PBE
State: optimized geometry

Geometry as extended XYZ:
```
4
Lattice="3.025 0.000 0.000 0.000 3.025 0.000 0.000 0.000 4.049" Properties=species:S:1:pos:R:3 pbc="T T T"
Al 0.000 0.000 0.000
C 0.000 0.000 2.024
C 1.512 1.512 1.348
C 1.512 1.512 2.701
```



<B>
Material: AlC3
Method: DFT, GGA-PBE
State: optimized geometry

Geometry as extended XYZ:
```
8
Lattice="3.905 0.000 0.000 0.000 4.234 0.000 0.000 0.000 4.376" Properties=species:S:1:pos:R:3 pbc="T T T"
Al 0.976 1.059 0.720
Al 2.929 3.176 3.656
C 0.976 2.445 2.320
C 0.976 3.176 3.693
C 0.976 3.907 2.320
C 2.929 0.328 2.056
C 2.929 1.059 0.683
C 2.929 1.789 2.056
```



<C>
Material: AlC3
Method: DFT, GGA-PBE
State: optimized geometry

Geometry as extended XYZ:
```
16
Lattice="4.634 0.000 0.000 0.000 12.941 0.000 0.000 0.000 2.510" Properties=species:S:1:pos:R:3 pbc="T T T"
Al 0.000 2.022 0.627
Al 0.000 10.919 1.882
Al 2.317 4.449 1.882
Al 2.317 8.493 0.627
C 0.000 3.975 1.882
C 0.000 8.967 0.627
C 0.720 4.903 0.627
C 0.720 8.039 1.882
C 1.597 1.568 1.882
C 1.597 11.373 0.627
C 2.317 2.496 0.627
C 2.317 10.445 1.882
C 3.037 1.568 1.882
C 3.037 11.373 0.627
C 3.914 4.903 0.627
C 3.914 8.039 1.882
```



<D>
Material: AlC3
Method: DFT, GGA-PBE
State: optimized geometry

Geometry as extended XYZ:
```
8
Lattice="3.917 0.000 0.000 0.000 5.805 0.000 0.000 0.000 2.968" Properties=species:S:1:pos:R:3 pbc="T T T"
Al 0.000 0.000 0.000
Al 1.959 2.902 0.000
C 0.000 2.902 0.000
C 0.979 1.451 1.484
C 0.979 4.354 1.484
C 1.959 0.000 0.000
C 2.938 1.451 1.484
C 2.938 4.354 1.484
```



The most stable arrangement is <B>, and the next structure is 29.7 kJ/mol of atoms less stable.



<A>
Material: AlC3
Method: DFT, GGA-PBE
State: optimized geometry

Geometry as extended XYZ:
```
8
Lattice="7.070 0.000 0.000 0.000 2.487 0.000 -0.656 0.000 4.966" Properties=species:S:1:pos:R:3 pbc="T T T"
Al 0.000 0.000 0.000
Al 3.535 1.243 0.000
C -0.328 0.000 2.483
C 1.056 0.000 2.471
C 1.823 1.243 2.495
C 3.207 1.243 2.483
C 4.591 1.243 2.471
C 5.358 0.000 2.495
```



<B>
Material: AlC3
Method: DFT, GGA-PBE
State: optimized geometry

Geometry as extended XYZ:
```
8
Lattice="3.407 0.000 0.000 0.000 6.241 0.000 0.000 0.000 4.084" Properties=species:S:1:pos:R:3 pbc="T T T"
Al 0.000 0.000 0.000
Al 1.703 3.120 0.000
C 0.000 0.000 2.042
C 0.000 3.120 1.357
C 0.000 3.120 2.727
C 1.703 0.000 1.357
C 1.703 0.000 2.727
C 1.703 3.120 2.042
```



<C>
Material: AlC3
Method: DFT, GGA-PBE
State: optimized geometry

Geometry as extended XYZ:
```
16
Lattice="4.082 0.000 0.000 -2.041 3.535 0.000 0.000 0.000 10.717" Properties=species:S:1:pos:R:3 pbc="T T T"
Al 0.000 0.000 0.000
Al 0.000 0.000 5.359
Al 0.000 2.357 2.679
Al 2.041 1.178 8.038
C -1.020 1.768 0.000
C -1.020 1.768 5.359
C 0.000 1.530 8.038
C -0.716 2.770 8.038
C 1.325 0.765 2.679
C 2.041 0.000 0.000
C 2.041 0.000 5.359
C 1.020 1.768 0.000
C 1.020 1.768 5.359
C 0.716 2.770 8.038
C 2.757 0.765 2.679
C 2.041 2.005 2.679
```



<D>
Material: AlC3
Method: DFT, GGA-PBE
State: optimized geometry

Geometry as extended XYZ:
```
4
Lattice="2.577 0.000 0.000 0.000 6.897 0.000 0.000 0.000 3.077" Properties=species:S:1:pos:R:3 pbc="T T T"
Al 0.000 0.000 0.000
C 0.000 3.449 3.041
C 1.288 0.000 1.539
C 1.288 3.449 3.040
```



The most stable arrangement is <A>, and the next structure is 21.9 kJ/mol of atoms less stable.



<A>
Material: AlC3
Method: DFT, GGA-PBE
State: optimized geometry

Geometry as extended XYZ:
```
4
Lattice="2.651 0.000 0.000 -1.325 2.296 0.000 0.000 0.000 5.132" Properties=species:S:1:pos:R:3 pbc="T T T"
Al 0.000 0.000 0.000
C 0.000 0.000 2.566
C 1.325 0.765 1.608
C 1.325 0.765 3.524
```



<B>
Material: AlC3
Method: DFT, GGA-PBE
State: optimized geometry

Geometry as extended XYZ:
```
8
Lattice="4.059 0.000 0.000 0.000 4.059 0.000 0.000 0.000 4.059" Properties=species:S:1:pos:R:3 pbc="T T T"
Al 0.000 0.000 0.000
Al 2.029 2.029 2.029
C 0.000 1.015 2.029
C 0.000 3.044 2.029
C 1.015 2.029 0.000
C 2.029 0.000 1.015
C 2.029 0.000 3.044
C 3.044 2.029 0.000
```



<C>
Material: AlC3
Method: DFT, GGA-PBE
State: optimized geometry

Geometry as extended XYZ:
```
12
Lattice="2.660 0.000 0.000 -1.330 2.304 0.000 0.000 0.000 14.661" Properties=species:S:1:pos:R:3 pbc="T T T"
Al 0.000 0.000 0.000
Al 0.000 1.536 9.774
Al 1.330 0.768 4.887
C 0.000 0.000 3.401
C 0.000 0.000 7.330
C 0.000 0.000 11.260
C 0.000 1.536 2.443
C 0.000 1.536 6.373
C 0.000 1.536 13.175
C 1.330 0.768 1.486
C 1.330 0.768 8.288
C 1.330 0.768 12.217
```



<D>
Material: AlC3
Method: DFT, GGA-PBE
State: optimized geometry

Geometry as extended XYZ:
```
16
Lattice="2.718 0.000 0.000 0.000 2.718 0.000 0.000 0.000 16.731" Properties=species:S:1:pos:R:3 pbc="T T T"
Al 0.000 0.000 2.497
Al 0.000 0.000 14.234
Al 1.359 1.359 5.868
Al 1.359 1.359 10.862
C 0.000 0.000 7.000
C 0.000 0.000 9.730
C 0.000 1.359 0.000
C 0.000 1.359 4.183
C 0.000 1.359 8.365
C 0.000 1.359 12.548
C 1.359 0.000 0.000
C 1.359 0.000 4.183
C 1.359 0.000 8.365
C 1.359 0.000 12.548
C 1.359 1.359 1.365
C 1.359 1.359 15.365
```



The most stable arrangement is <C>, and the next structure is 24.4 kJ/mol of atoms less stable.



<A>
Material: AlC3
Method: DFT, GGA-PBE
State: optimized geometry

Geometry as extended XYZ:
```
16
Lattice="7.234 0.000 0.000 0.000 10.120 0.000 0.000 0.000 2.501" Properties=species:S:1:pos:R:3 pbc="T T T"
Al 0.000 1.324 0.625
Al 0.000 8.796 1.876
Al 3.617 3.736 1.876
Al 3.617 6.384 0.625
C 0.000 5.023 0.625
C 0.000 5.097 1.876
C 1.538 2.303 1.876
C 1.538 7.816 0.625
C 2.079 2.756 0.625
C 2.079 7.363 1.876
C 3.617 0.037 1.876
C 3.617 10.083 0.625
C 5.155 2.756 0.625
C 5.155 7.363 1.876
C 5.696 2.303 1.876
C 5.696 7.816 0.625
```



<B>
Material: AlC3
Method: DFT, GGA-PBE
State: optimized geometry

Geometry as extended XYZ:
```
8
Lattice="2.700 0.000 0.000 0.000 2.700 0.000 0.000 0.000 9.760" Properties=species:S:1:pos:R:3 pbc="T T T"
Al 0.000 0.000 0.000
Al 1.350 1.350 4.880
C 0.000 0.000 4.880
C 0.000 1.350 2.440
C 0.000 1.350 7.320
C 1.350 0.000 2.440
C 1.350 0.000 7.320
C 1.350 1.350 0.000
```



The most stable arrangement is <A>, and the next structure is 150.6 kJ/mol of atoms less stable.



<A>
Material: AlC3
Method: DFT, GGA-PBE
State: optimized geometry

Geometry as extended XYZ:
```
16
Lattice="5.765 0.000 0.000 0.000 5.398 0.000 0.000 0.000 5.832" Properties=species:S:1:pos:R:3 pbc="T T T"
Al 0.668 1.349 0.948
Al 2.214 4.048 3.864
Al 3.551 1.349 1.968
Al 5.097 4.048 4.884
C 0.808 0.043 4.499
C 0.808 2.656 4.499
C 0.817 1.349 4.466
C 2.066 4.048 1.550
C 2.075 2.742 1.583
C 2.075 5.355 1.583
C 3.691 0.043 4.249
C 3.691 2.656 4.249
C 3.699 1.349 4.282
C 4.949 4.048 1.366
C 4.957 2.742 1.333
C 4.957 5.355 1.333
```



<B>
Material: AlC3
Method: DFT, GGA-PBE
State: optimized geometry

Geometry as extended XYZ:
```
4
Lattice="3.217 0.000 0.000 0.000 3.217 0.000 0.000 0.000 3.217" Properties=species:S:1:pos:R:3 pbc="T T T"
Al 0.000 0.000 0.000
C 0.000 1.609 1.609
C 1.609 0.000 1.609
C 1.609 1.609 0.000
```



<C>
Material: AlC3
Method: DFT, GGA-PBE
State: optimized geometry

Geometry as extended XYZ:
```
4
Lattice="3.937 0.000 0.000 0.000 3.937 0.000 0.000 0.000 3.937" Properties=species:S:1:pos:R:3 pbc="T T T"
Al 0.000 0.000 0.000
C 0.000 0.000 1.969
C 0.000 1.969 0.000
C 1.969 0.000 0.000
```



The most stable arrangement is <A>, and the next structure is 177.7 kJ/mol of atoms less stable.



<A>
Material: AlC3
Method: DFT, GGA-PBE
State: optimized geometry

Geometry as extended XYZ:
```
16
Lattice="5.185 0.000 0.000 0.000 5.185 0.000 0.000 0.000 5.185" Properties=species:S:1:pos:R:3 pbc="T T T"
Al 0.000 0.000 0.000
Al 0.000 2.592 2.592
Al 2.592 0.000 2.592
Al 2.592 2.592 0.000
C 0.000 0.000 2.592
C 0.000 2.592 0.000
C 1.296 1.296 1.296
C 1.296 1.296 3.889
C 1.296 3.889 1.296
C 1.296 3.889 3.889
C 2.592 0.000 0.000
C 2.592 2.592 2.592
C 3.889 1.296 1.296
C 3.889 1.296 3.889
C 3.889 3.889 1.296
C 3.889 3.889 3.889
```



<B>
Material: AlC3
Method: DFT, GGA-PBE
State: optimized geometry

Geometry as extended XYZ:
```
8
Lattice="2.420 0.000 0.000 0.000 5.345 0.000 0.000 0.000 7.190" Properties=species:S:1:pos:R:3 pbc="T T T"
Al 0.000 0.000 0.000
Al 1.210 2.673 3.595
C 0.000 1.015 3.595
C 0.000 2.673 0.000
C 0.000 4.330 3.595
C 1.210 0.000 3.595
C 1.210 1.657 0.000
C 1.210 3.688 0.000
```



<C>
Material: AlC3
Method: DFT, GGA-PBE
State: optimized geometry

Geometry as extended XYZ:
```
8
Lattice="4.196 0.000 0.000 -2.098 3.634 0.000 0.000 0.000 5.647" Properties=species:S:1:pos:R:3 pbc="T T T"
Al 0.000 2.423 1.412
Al 2.098 1.211 4.235
C 0.000 0.840 4.235
C -1.370 3.214 4.235
C 0.728 0.420 1.412
C 1.370 3.214 4.235
C 3.469 0.420 1.412
C 2.098 2.794 1.412
```



The most stable arrangement is <C>, and the next structure is 14.4 kJ/mol of atoms less stable.



<A>
Material: AlC3
Method: DFT, GGA-PBE
State: optimized geometry

Geometry as extended XYZ:
```
8
Lattice="4.063 0.000 0.000 0.000 4.063 0.000 0.000 0.000 4.063" Properties=species:S:1:pos:R:3 pbc="T T T"
Al 0.000 0.000 0.000
Al 2.032 2.032 2.032
C 0.000 0.000 2.032
C 0.000 2.032 0.000
C 0.000 2.032 2.032
C 2.032 0.000 0.000
C 2.032 0.000 2.032
C 2.032 2.032 0.000
```



<B>
Material: AlC3
Method: DFT, GGA-PBE
State: optimized geometry

Geometry as extended XYZ:
```
8
Lattice="5.814 0.000 0.000 0.000 5.850 0.000 -1.981 0.000 2.772" Properties=species:S:1:pos:R:3 pbc="T T T"
Al 0.000 0.000 0.000
Al 2.907 2.925 0.000
C 0.068 1.312 2.141
C 0.068 4.538 2.141
C 0.144 0.000 2.199
C 2.975 1.613 2.141
C 2.975 4.238 2.141
C 3.051 2.925 2.199
```



The most stable arrangement is <B>, and the next structure is 104.4 kJ/mol of atoms less stable.